Crystalline TcRu2Br at its relaxed geometry, computed with PBE.

Unit cell a=2.899 b=4.627 c=4.537 alpha=90.00 beta=90.00 gamma=90.00
Fractional coordinates of all 4 atoms:
Br 0.000 0.500 0.500
Ru 0.500 0.500 0.000
Ru 0.000 0.000 0.000
Tc 0.500 0.000 0.500

Values from the calculation:
Raw total energy in eV per atom: -6.740
Magnetization in μB per cell: 0.00
Symmetry: Pmmm